1.
This record from Alexandria via LeMat-Bulk describes a geometry-optimized LiPuCdAu structure. The functional is PBE.

## Properties
The energy relative to the lowest polymorph listed for this composition is 0 meV/atom. For the theoretical density, the calculation gives 11.37 g cm⁻³. The value obtained for the formation energy is -313 meV/atom. The total energy is -21.69 eV for the cell shown.

a = 3.2502 Å, b = 3.2502 Å, c = 7.7481 Å
α = 90.00°, β = 90.00°, γ = 90.00°
With the nearest neighbours (Å) after each atom.
Fractional positions:
Li  0.0000  0.0000  0.0000  4 Au 2.68, 4 Cd 2.90
Pu  0.0000  0.0000  0.4551  4 Au 3.15, 4 Pu 3.25, 4 Cd 3.37, 1 Li 3.53
Cd  0.5000  0.5000  0.7727  4 Li 2.90, 1 Au 3.13
Au  0.5000  0.5000  0.1773  4 Li 2.68

---

2.
This record from Alexandria via LeMat-Bulk describes a geometry-optimized LiPuCd2Au4 structure. The functional is PBE.

## Properties
For the theoretical density, the calculation gives 12.91 g cm⁻³. The value obtained for the formation energy is -360 meV/atom. The total energy is -34.07 eV for the cell shown.

a = 8.5693 Å, b = 8.5693 Å, c = 8.5693 Å
α = 32.60°, β = 32.60°, γ = 32.60°
With the nearest neighbours (Å) after each atom.
Fractional positions:
Li  0.0000  0.0000  0.0000  8 Au 2.73-2.93
Pu  0.5000  0.5000  0.5000  8 Au 3.08-3.12
Cd  0.2528  0.2528  0.2528  7 Au 2.88-2.96
Cd  0.7472  0.7472  0.7472  7 Au 2.88-2.96
Au  0.1121  0.1121  0.1121  1 Li 2.73, 3 Cd 2.88
Au  0.3717  0.3717  0.3717  4 Cd 2.89-2.96, 3 Li 2.93, 1 Pu 3.12
Au  0.6283  0.6283  0.6283  4 Cd 2.89-2.96, 3 Li 2.93, 1 Pu 3.12
Au  0.8879  0.8879  0.8879  1 Li 2.73, 3 Cd 2.88

---

3.
This record from Alexandria via LeMat-Bulk describes a geometry-optimized Rb2LiCd12Au3 structure. The functional is PBE.

## Properties
For the theoretical density, the calculation gives 5.84 g cm⁻³. The value obtained for the formation energy is 44 meV/atom. The total energy is -23.87 eV for the cell shown.

a = 9.1641 Å, b = 9.1641 Å, c = 9.1641 Å
α = 64.86°, β = 64.86°, γ = 64.86°
With the nearest neighbours (Å) after each atom.
Fractional positions:
Rb  0.1210  0.1210  0.1210  9 Cd 3.66-4.06
Rb  0.8790  0.8790  0.8790  9 Cd 3.66-4.06
Li  0.5000  0.5000  0.5000  6 Cd 2.67
Cd  0.1633  0.6076  0.6076  1 Li 2.67, 1 Au 2.74
Cd  0.1819  0.1819  0.6559  2 Au 2.77, 2 Cd 3.00
Cd  0.1819  0.6559  0.1819  2 Au 2.77, 2 Cd 3.00
Cd  0.3441  0.8181  0.8181  2 Au 2.77, 2 Cd 3.00
Cd  0.3924  0.3924  0.8367  1 Li 2.67, 1 Au 2.74
Cd  0.3924  0.8367  0.3924  1 Li 2.67, 1 Au 2.74
Cd  0.6076  0.1633  0.6076  1 Li 2.67, 1 Au 2.74
Cd  0.6076  0.6076  0.1633  1 Li 2.67, 1 Au 2.74
Cd  0.6559  0.1819  0.1819  2 Au 2.77, 2 Cd 3.00
Cd  0.8181  0.3441  0.8181  2 Au 2.77, 2 Cd 3.00
Cd  0.8181  0.8181  0.3441  2 Au 2.77, 2 Cd 3.00
Cd  0.8367  0.3924  0.3924  1 Li 2.67, 1 Au 2.74
Au  0.0000  0.5000  0.5000  6 Cd 2.74-2.77
Au  0.5000  0.0000  0.5000  6 Cd 2.74-2.77
Au  0.5000  0.5000  0.0000  6 Cd 2.74-2.77

---

4.
This record from Alexandria via LeMat-Bulk describes a geometry-optimized RbLi2CdAu structure. The functional is PBE.

## Properties
For the theoretical density, the calculation gives 4.54 g cm⁻³. The value obtained for the formation energy is -160 meV/atom. The total energy is -9.79 eV for the cell shown.

a = 5.2563 Å, b = 5.2563 Å, c = 5.4054 Å
α = 90.00°, β = 90.00°, γ = 90.00°
With the nearest neighbours (Å) after each atom.
Fractional positions:
Rb  0.0000  0.0000  0.0000  4 Cd 3.72, 8 Li 3.77
Li  0.0000  0.5000  0.5000  2 Au 2.63
Li  0.5000  0.0000  0.5000  2 Au 2.63
Cd  0.5000  0.5000  0.0000  2 Au 2.70
Au  0.5000  0.5000  0.5000  4 Li 2.63, 2 Cd 2.70

---

5.
This record from Alexandria via LeMat-Bulk describes a geometry-optimized Rb2LiCd4Au3 structure. The functional is PBE.

## Properties
For the theoretical density, the calculation gives 7.28 g cm⁻³. The value obtained for the formation energy is -203 meV/atom. The total energy is -19.38 eV for the cell shown.

a = 4.8497 Å, b = 4.8497 Å, c = 11.8183 Å
α = 90.00°, β = 90.00°, γ = 90.00°
With the nearest neighbours (Å) after each atom.
Fractional positions:
Rb  0.0000  0.5000  0.2468  6 Au 3.69-3.85, 8 Cd 3.73-3.79, 2 Li 3.85
Rb  0.5000  0.0000  0.7532  6 Au 3.69-3.85, 8 Cd 3.73-3.79, 2 Li 3.85
Li  0.0000  0.0000  0.5000  4 Cd 2.87
Cd  0.0000  0.0000  0.0000  4 Au 2.88
Cd  0.0000  0.5000  0.6296  3 Au 2.82-2.87, 2 Li 2.87
Cd  0.5000  0.0000  0.3704  3 Au 2.82-2.87, 2 Li 2.87
Cd  0.5000  0.5000  0.0000  4 Au 2.88
Au  0.0000  0.5000  0.8683  5 Cd 2.82-2.88
Au  0.5000  0.0000  0.1317  5 Cd 2.82-2.88
Au  0.5000  0.5000  0.5000  4 Cd 2.87

---

6.
This record from Alexandria via LeMat-Bulk describes a geometry-optimized LiCd2ReAu structure. The functional is PBE.

## Properties
For the theoretical density, the calculation gives 11.50 g cm⁻³. The value obtained for the formation energy is 956 meV/atom. The total energy is -14.69 eV for the cell shown.

a = 4.4651 Å, b = 4.4651 Å, c = 4.4533 Å
α = 90.00°, β = 90.00°, γ = 90.00°
With the nearest neighbours (Å) after each atom.
Fractional positions:
Li  0.0000  0.0000  0.0000  2 Re 2.23, 4 Cd 2.23
Cd  0.0000  0.5000  0.0000  2 Li 2.23
Cd  0.5000  0.0000  0.0000  2 Li 2.23
Re  0.0000  0.0000  0.5000  2 Li 2.23
Au  0.5000  0.5000  0.5000  8 Cd 3.15, 4 Re 3.16

---

7.
This record from Alexandria via LeMat-Bulk describes a geometry-optimized LiCdRhAu structure. The functional is PBE.

## Properties
For the theoretical density, the calculation gives 10.64 g cm⁻³. The value obtained for the formation energy is -293 meV/atom. The total energy is -14.63 eV for the cell shown.

a = 3.3153 Å, b = 4.3421 Å, c = 4.5466 Å
α = 90.00°, β = 90.00°, γ = 90.00°
With the nearest neighbours (Å) after each atom.
Fractional positions:
Li  0.0000  0.0000  0.0000  4 Au 2.73, 4 Cd 2.81
Cd  0.5000  0.0000  0.5000  4 Rh 2.73, 4 Li 2.81
Rh  0.0000  0.5000  0.5000  4 Cd 2.73, 4 Au 2.81
Au  0.5000  0.5000  0.0000  4 Li 2.73, 4 Rh 2.81

---

8.
This record from Alexandria via LeMat-Bulk describes a geometry-optimized LiCd2RuAu structure. The functional is PBE.

## Properties
For the theoretical density, the calculation gives 6.49 g cm⁻³. The value obtained for the formation energy is 473 meV/atom. The total energy is -13.93 eV for the cell shown.

a = 5.1872 Å, b = 5.1872 Å, c = 5.0405 Å
α = 90.00°, β = 90.00°, γ = 90.00°
With the nearest neighbours (Å) after each atom.
Fractional positions:
Li  0.0000  0.0000  0.0000  8 Cd 3.62, 4 Au 3.67
Cd  0.0000  0.5000  0.5000  2 Ru 2.59
Cd  0.5000  0.0000  0.5000  2 Ru 2.59
Ru  0.5000  0.5000  0.5000  2 Au 2.52, 4 Cd 2.59
Au  0.5000  0.5000  0.0000  2 Ru 2.52

---

9.
This record from Alexandria via LeMat-Bulk describes a geometry-optimized LiCdSbAu structure. The functional is PBE.

## Properties
For the theoretical density, the calculation gives 8.72 g cm⁻³. The formation energy from raw total energies is -0.19 eV per atom. The total energy is -10.98 eV for the cell shown.

a = 4.9041 Å, b = 4.9041 Å, c = 4.9041 Å
α = 60.00°, β = 60.00°, γ = 60.00°
With the nearest neighbours (Å) after each atom.
Fractional positions:
Li  0.0000  0.0000  0.0000  4 Sb 3.00, 4 Au 3.00
Cd  0.5000  0.5000  0.5000  4 Sb 3.00, 4 Au 3.00
Sb  0.7500  0.7500  0.7500  4 Cd 3.00, 4 Li 3.00
Au  0.2500  0.2500  0.2500  4 Cd 3.00, 4 Li 3.00

---

10.
This record from Alexandria via LeMat-Bulk describes a geometry-optimized LiScCdAu2 structure. The functional is PBE.

## Properties
For the theoretical density, the calculation gives 9.67 g cm⁻³. The value obtained for the formation energy is -126 meV/atom. The total energy is -16.34 eV for the cell shown.

a = 4.5936 Å, b = 4.5936 Å, c = 4.5437 Å
α = 90.00°, β = 90.00°, γ = 90.00°
With the nearest neighbours (Å) after each atom.
Fractional positions:
Li  0.0000  0.0000  0.0000  2 Cd 2.27, 4 Au 2.30
Sc  0.5000  0.5000  0.5000  8 Au 3.23, 4 Cd 3.25
Cd  0.0000  0.0000  0.5000  2 Li 2.27
Au  0.0000  0.5000  0.0000  2 Li 2.30
Au  0.5000  0.0000  0.0000  2 Li 2.30

---

11.
This record from Alexandria via LeMat-Bulk describes a geometry-optimized LiCdSiAu structure. The functional is PBE.

## Properties
For the theoretical density, the calculation gives 8.42 g cm⁻³. The formation energy from raw total energies is -0.11 eV per atom. The total energy is -11.96 eV for the cell shown.

a = 4.5799 Å, b = 4.5799 Å, c = 4.5799 Å
α = 60.00°, β = 60.00°, γ = 60.00°
With the nearest neighbours (Å) after each atom.
Fractional positions:
Li  0.0000  0.0000  0.0000  4 Au 2.80, 4 Cd 2.80
Cd  0.2500  0.2500  0.2500  4 Li 2.80, 4 Si 2.80
Si  0.5000  0.5000  0.5000  4 Cd 2.80, 4 Au 2.80
Au  0.7500  0.7500  0.7500  4 Li 2.80, 4 Si 2.80

---

12.
This record from Alexandria via LeMat-Bulk describes a geometry-optimized LiSm2CdAu4 structure. The functional is PBE.

## Properties
For the theoretical density, the calculation gives 11.53 g cm⁻³. The value obtained for the formation energy is -672 meV/atom. The total energy is -30.75 eV for the cell shown.

a = 8.4457 Å, b = 8.4457 Å, c = 8.4457 Å
α = 34.67°, β = 34.67°, γ = 34.67°
With the nearest neighbours (Å) after each atom.
Fractional positions:
Li  0.0000  0.0000  0.0000  8 Au 2.77-3.06
Sm  0.2471  0.2471  0.2471  8 Au 2.99-3.10
Sm  0.7529  0.7529  0.7529  8 Au 2.99-3.10
Cd  0.5000  0.5000  0.5000  8 Au 3.00-3.14
Au  0.1166  0.1166  0.1166  1 Li 2.77, 4 Sm 2.99-3.10
Au  0.3738  0.3738  0.3738  1 Cd 3.00, 4 Sm 3.01-3.10, 3 Li 3.06
Au  0.6262  0.6262  0.6262  1 Cd 3.00, 4 Sm 3.01-3.10, 3 Li 3.06
Au  0.8834  0.8834  0.8834  1 Li 2.77, 4 Sm 2.99-3.10

---

- Which of these has the lowest theoretical density?
  RbLi2CdAu

---

- Which formula does entry 6 have?
  LiCd2ReAu